{"formula": "HfTe2Pt", "functional": "PBE-GGA", "state": "optimized geometry", "cell": [[0.000, 3.521, 3.521], [3.521, 0.000, 3.521], [3.521, 3.521, 0.000]], "species": ["Hf", "Te", "Te", "Pt"], "frac_coords": [[0.000, 0.000, 0.000], [0.250, 0.250, 0.250], [0.750, 0.750, 0.750], [0.500, 0.500, 0.500]], "magmom_total_mub_per_cell": 0.0, "raw_formation_energy_ev_per_atom": -0.14, "dft_energy_ry_per_atom": -0.4194}